## i
First-principles (PBE-GGA) data for TaNi2Cl after structural relaxation, as listed in Alexandria via LeMat-Bulk.

Unit cell a=4.7084 b=4.7084 c=2.9259 alpha=90.00 beta=90.00 gamma=117.57
Element x y z (fractional)
Ta (0.0000, 0.0000, 0.0000)
Ni (0.0000, 0.5000, 0.5000)
Ni (0.5000, 0.0000, 0.5000)
Cl (0.5000, 0.5000, 0.0000)

Values from the calculation:
- DOS at the Fermi energy (states/eV per atom) = 1.181
- theoretical density (g/cm3) = 9.64

---

## ii
First-principles (PBE-GGA) data for TaNi2Cl after structural relaxation, as listed in Alexandria via LeMat-Bulk.

Unit cell a=4.3633 b=4.3633 c=4.3633 alpha=60.00 beta=60.00 gamma=60.00
Element x y z (fractional)
Ta (0.0000, 0.0000, 0.0000)
Ni (0.2500, 0.2500, 0.2500)
Ni (0.7500, 0.7500, 0.7500)
Cl (0.5000, 0.5000, 0.5000)

Values from the calculation:
- DOS at the Fermi energy (states/eV per atom) = 0.636
- theoretical density (g/cm3) = 9.44

---

What should be chosen as the most stable of them? Choose i.